# PBE TiCuPt3, relaxed
# DOS at the Fermi energy = 0.568 states/eV per atom
# offset from the most stable computed form = 0.00 kcal/mol of atoms
# spin magnetization = 0.000 μB per atom
# energy = -6.5682 eV per atom
# energy of formation = -0.546 eV/atom
data_TiCuPt3
_chemical_formula_sum 'Ti4 Cu4 Pt12'
_symmetry_space_group_name_H-M 'C 1 2/m 1'
_symmetry_Int_Tables_number 12
_cell_length_a 8.963
_cell_length_b 3.917
_cell_length_c 8.591
_cell_angle_alpha 90.00
_cell_angle_beta 92.99
_cell_angle_gamma 90.00
loop_
_symmetry_equiv_pos_as_xyz
'x,y,z'
'-x,-y,-z'
'-x,y,-z'
'x,-y,z'
'x+1/2,y+1/2,z'
'-x+1/2,-y+1/2,-z'
'-x+1/2,y+1/2,-z'
'x+1/2,-y+1/2,z'
loop_
_atom_site_label
_atom_site_type_symbol
_atom_site_fract_x
_atom_site_fract_y
_atom_site_fract_z
_atom_site_occupancy
Ti1 Ti 0.148 0.000 0.069 1
Cu1 Cu 0.143 0.500 0.551 1
Pt1 Pt 0.054 0.500 0.858 1
Pt2 Pt 0.062 0.000 0.357 1
Pt3 Pt 0.245 0.000 0.750 1



# PBE SrTe3Os, relaxed
# DOS at the Fermi energy = 2.416 states/eV per atom
# offset from the most stable computed form = 36.16 kcal/mol of atoms
# spin magnetization = 0.862 μB per atom
# energy = -2.9192 eV per atom
data_SrTe3Os
_chemical_formula_sum 'Sr1 Te3 Os1'
_symmetry_space_group_name_H-M 'P m -3 m'
_symmetry_Int_Tables_number 221
_symmetry_space_group_name_Hall '-P 4 2 3'
_cell_length_a 6.058
_cell_length_b 6.058
_cell_length_c 6.058
_cell_angle_alpha 90.00
_cell_angle_beta 90.00
_cell_angle_gamma 90.00
loop_
_atom_site_label
_atom_site_type_symbol
_atom_site_fract_x
_atom_site_fract_y
_atom_site_fract_z
_atom_site_occupancy
Sr1 Sr 0.000 0.000 0.000 1
Te1 Te 0.000 0.000 0.500 1
Os1 Os 0.500 0.500 0.500 1



# PBE TlZn2Br, relaxed
# DOS at the Fermi energy = 0.032 states/eV per atom
# offset from the most stable computed form = 5.32 kcal/mol of atoms
# spin magnetization = 0.000 μB per atom
# energy = -1.5614 eV per atom
data_TlZn2Br
_chemical_formula_sum 'Tl4 Zn8 Br4'
_symmetry_space_group_name_H-M 'F m -3 m'
_symmetry_Int_Tables_number 225
_symmetry_space_group_name_Hall '-F 4 2 3'
_cell_length_a 7.598
_cell_length_b 7.598
_cell_length_c 7.598
_cell_angle_alpha 90.00
_cell_angle_beta 90.00
_cell_angle_gamma 90.00
loop_
_atom_site_label
_atom_site_type_symbol
_atom_site_fract_x
_atom_site_fract_y
_atom_site_fract_z
_atom_site_occupancy
Tl1 Tl 0.000 0.000 0.000 1
Zn1 Zn 0.250 0.250 0.250 1
Br1 Br 0.000 0.000 0.500 1



# PBE LaTlMo2, relaxed
# DOS at the Fermi energy = 1.096 states/eV per atom
# offset from the most stable computed form = 12.78 kcal/mol of atoms
# spin magnetization = 0.000 μB per atom
# energy = -6.4884 eV per atom
# energy of formation = 0.751 eV/atom
data_LaTlMo2
_chemical_formula_sum 'La1 Tl1 Mo2'
_symmetry_space_group_name_H-M 'P m m m'
_symmetry_Int_Tables_number 47
_cell_length_a 3.742
_cell_length_b 4.677
_cell_length_c 4.918
_cell_angle_alpha 90.00
_cell_angle_beta 90.00
_cell_angle_gamma 90.00
loop_
_symmetry_equiv_pos_as_xyz
'x,y,z'
'-x,-y,-z'
'-x,-y,z'
'x,y,-z'
'x,-y,-z'
'-x,y,z'
'-x,y,-z'
'x,-y,z'
loop_
_atom_site_label
_atom_site_type_symbol
_atom_site_fract_x
_atom_site_fract_y
_atom_site_fract_z
_atom_site_occupancy
La1 La 0.000 0.000 0.000 1
Tl1 Tl 0.500 0.000 0.500 1
Mo1 Mo 0.000 0.500 0.500 1
Mo2 Mo 0.500 0.500 0.000 1



# PBE LiTl4In3, relaxed
# DOS at the Fermi energy = 0.360 states/eV per atom
# spin magnetization = 0.000 μB per atom
# energy = -2.4742 eV per atom
# energy of formation = -0.025 eV/atom
data_LiTl4In3
_chemical_formula_sum 'Li2 Tl8 In6'
_symmetry_space_group_name_H-M 'C 1 2/m 1'
_symmetry_Int_Tables_number 12
_cell_length_a 22.012
_cell_length_b 3.432
_cell_length_c 5.807
_cell_angle_alpha 90.00
_cell_angle_beta 92.72
_cell_angle_gamma 90.00
loop_
_symmetry_equiv_pos_as_xyz
'x,y,z'
'-x,-y,-z'
'-x,y,-z'
'x,-y,z'
'x+1/2,y+1/2,z'
'-x+1/2,-y+1/2,-z'
'-x+1/2,y+1/2,-z'
'x+1/2,-y+1/2,z'
loop_
_atom_site_label
_atom_site_type_symbol
_atom_site_fract_x
_atom_site_fract_y
_atom_site_fract_z
_atom_site_occupancy
Li1 Li 0.000 0.000 0.000 1
Tl1 Tl 0.115 0.500 0.880 1
Tl2 Tl 0.247 0.000 0.750 1
In1 In 0.000 0.500 0.500 1
In2 In 0.121 0.000 0.374 1



# PBE AlSi2S, relaxed
# DOS at the Fermi energy = 0.444 states/eV per atom
# offset from the most stable computed form = 5.31 kcal/mol of atoms
# spin magnetization = 0.000 μB per atom
# energy = -4.1611 eV per atom
data_AlSi2S
_chemical_formula_sum 'Al4 Si8 S4'
_symmetry_space_group_name_H-M 'F m -3 m'
_symmetry_Int_Tables_number 225
_symmetry_space_group_name_Hall '-F 4 2 3'
_cell_length_a 6.362
_cell_length_b 6.362
_cell_length_c 6.362
_cell_angle_alpha 90.00
_cell_angle_beta 90.00
_cell_angle_gamma 90.00
loop_
_atom_site_label
_atom_site_type_symbol
_atom_site_fract_x
_atom_site_fract_y
_atom_site_fract_z
_atom_site_occupancy
Al1 Al 0.000 0.000 0.000 1
Si1 Si 0.250 0.250 0.250 1
S1 S 0.000 0.000 0.500 1



# PBE TaNbGa, relaxed
# DOS at the Fermi energy = 0.996 states/eV per atom
# offset from the most stable computed form = 0.61 kcal/mol of atoms
# spin magnetization = 0.000 μB per atom
# energy = -8.4850 eV per atom
# energy of formation = -0.169 eV/atom
data_TaNbGa
_chemical_formula_sum 'Ta2 Nb2 Ga2'
_symmetry_space_group_name_H-M 'I 4 m m'
_symmetry_Int_Tables_number 107
_symmetry_space_group_name_Hall 'I 4 -2'
_cell_length_a 3.446
_cell_length_b 3.446
_cell_length_c 8.778
_cell_angle_alpha 90.00
_cell_angle_beta 90.00
_cell_angle_gamma 90.00
loop_
_atom_site_label
_atom_site_type_symbol
_atom_site_fract_x
_atom_site_fract_y
_atom_site_fract_z
_atom_site_occupancy
Ta1 Ta 0.000 0.000 0.000 1
Nb1 Nb 0.000 0.000 0.331 1
Ga1 Ga 0.000 0.000 0.665 1



# PBE Nb3TcH, relaxed
# DOS at the Fermi energy = 1.082 states/eV per atom
# offset from the most stable computed form = 0.00 kcal/mol of atoms
# spin magnetization = 0.000 μB per atom
# energy = -8.6819 eV per atom
data_Nb3TcH
_chemical_formula_sum 'Nb3 Tc1 H1'
_symmetry_space_group_name_H-M 'P m -3 m'
_symmetry_Int_Tables_number 221
_symmetry_space_group_name_Hall '-P 4 2 3'
_cell_length_a 4.171
_cell_length_b 4.171
_cell_length_c 4.171
_cell_angle_alpha 90.00
_cell_angle_beta 90.00
_cell_angle_gamma 90.00
loop_
_atom_site_label
_atom_site_type_symbol
_atom_site_fract_x
_atom_site_fract_y
_atom_site_fract_z
_atom_site_occupancy
Nb1 Nb 0.000 0.000 0.500 1
Tc1 Tc 0.500 0.500 0.500 1
H1 H 0.000 0.000 0.000 1



# PBE PuBiH2O6, relaxed
# spin magnetization = 0.099 μB per atom
# energy = -7.0803 eV per atom
data_PuBiH2O6
_chemical_formula_sum 'Pu1 Bi1 H2 O6'
_symmetry_space_group_name_H-M 'P -1'
_symmetry_Int_Tables_number 2
_cell_length_a 5.236
_cell_length_b 5.445
_cell_length_c 5.965
_cell_angle_alpha 63.32
_cell_angle_beta 67.90
_cell_angle_gamma 64.76
loop_
_symmetry_equiv_pos_as_xyz
'x,y,z'
'-x,-y,-z'
loop_
_atom_site_label
_atom_site_type_symbol
_atom_site_fract_x
_atom_site_fract_y
_atom_site_fract_z
_atom_site_occupancy
Pu1 Pu 0.000 0.000 0.000 1
Bi1 Bi 0.500 0.500 0.500 1
H1 H 0.415 0.228 0.233 1
O1 O 0.091 0.353 0.778 1
O2 O 0.229 0.928 0.223 1
O3 O 0.405 0.763 0.760 1



# PBE Sm3AlNiS7, relaxed
# DOS at the Fermi energy = 0.014 states/eV per atom
# spin magnetization = 0.169 μB per atom
# energy = -5.9403 eV per atom
data_Sm3AlNiS7
_chemical_formula_sum 'Sm6 Al2 Ni2 S14'
_symmetry_space_group_name_H-M 'P 63'
_symmetry_Int_Tables_number 173
_cell_length_a 9.7232
_cell_length_b 9.7232
_cell_length_c 6.2435
_cell_angle_alpha 90.00
_cell_angle_beta 90.00
_cell_angle_gamma 120.00
loop_
_symmetry_equiv_pos_as_xyz
'x,y,z'
'x-y,x,z+1/2'
'-y,x-y,z'
'-x,-y,z+1/2'
'-x+y,-x,z'
'y,-x+y,z+1/2'
loop_
_atom_site_label
_atom_site_type_symbol
_atom_site_fract_x
_atom_site_fract_y
_atom_site_fract_z
_atom_site_occupancy
Sm1 Sm 0.1574 0.3759 0.0000 1
Al1 Al 0.3333 0.6667 0.4246 1
Ni1 Ni 0.0000 0.0000 0.3280 1
S1 S 0.0906 0.5670 0.2763 1
S2 S 0.0980 0.2272 0.5916 1
S3 S 0.3333 0.6667 0.7836 1



# PBE Rb2HoAlS4, relaxed
# spin magnetization = 0.000 μB per atom
# energy = -4.6500 eV per atom
data_Rb2HoAlS4
_chemical_formula_sum 'Rb8 Ho4 Al4 S16'
_symmetry_space_group_name_H-M 'I m m a'
_symmetry_Int_Tables_number 74
_symmetry_space_group_name_Hall '-I 2b 2'
_cell_length_a 8.057
_cell_length_b 8.427
_cell_length_c 11.694
_cell_angle_alpha 90.00
_cell_angle_beta 90.00
_cell_angle_gamma 90.00
loop_
_atom_site_label
_atom_site_type_symbol
_atom_site_fract_x
_atom_site_fract_y
_atom_site_fract_z
_atom_site_occupancy
Rb1 Rb 0.000 0.000 0.000 1
Rb2 Rb 0.250 0.250 0.250 1
Ho1 Ho 0.000 0.000 0.500 1
Al1 Al 0.250 0.250 0.750 1
S1 S 0.000 0.055 0.737 1
S2 S 0.220 0.250 0.529 1



# PBE PmCd4In, relaxed
# DOS at the Fermi energy = 0.491 states/eV per atom
# offset from the most stable computed form = 0.00 kcal/mol of atoms
# spin magnetization = 0.000 μB per atom
# energy = -2.1008 eV per atom
# energy of formation = -0.243 eV/atom
data_PmCd4In
_chemical_formula_sum 'Pm2 Cd8 In2'
_symmetry_space_group_name_H-M 'C m m m'
_symmetry_Int_Tables_number 65
_symmetry_space_group_name_Hall '-C 2 2'
_cell_length_a 4.643
_cell_length_b 13.361
_cell_length_c 4.701
_cell_angle_alpha 90.00
_cell_angle_beta 90.00
_cell_angle_gamma 90.00
loop_
_atom_site_label
_atom_site_type_symbol
_atom_site_fract_x
_atom_site_fract_y
_atom_site_fract_z
_atom_site_occupancy
Pm1 Pm 0.000 0.000 0.000 1
Cd1 Cd 0.000 0.169 0.500 1
Cd2 Cd 0.000 0.322 0.000 1
In1 In 0.000 0.500 0.500 1